# 1
Cd2SnPb6 | PBE | optimized geometry

Output
For the final energy, the calculation gives -0.2268 Ry per atom. As for the formation energy: 34 meV per atom. The calculation puts the total magnetization at 0.0 Bohr magnetons per cell. The calculation puts the excess energy over the best structure of this formula in the dataset at 0 meV per atom.

Lattice parameters (Å, degrees): 14.6175 4.7948 8.0608 90.00 109.68 90.00
Closest atoms and distances in Å follow each position.
Space group C2/m (No. 12)
One atom of each set of equivalent atoms:
Cd 0.0556 0.0000 0.3284 (multiplicity 4)  9 Pb 3.32-3.52, 2 Sn 3.46, 1 Cd 3.65
Sn 0.0000 0.5000 0.0000 (multiplicity 2)  8 Pb 3.35-3.55, 4 Cd 3.46
Pb 0.1058 0.5000 0.6627 (multiplicity 4)  7 Pb 3.31-3.63, 4 Cd 3.38-3.50, 1 Sn 3.55
Pb 0.1586 0.0000 0.9920 (multiplicity 4)  2 Cd 3.32-3.52, 2 Sn 3.35, 8 Pb 3.47-3.66
Pb 0.2191 0.5000 0.3370 (multiplicity 4)  3 Cd 3.37-3.48, 1 Sn 3.43, 8 Pb 3.45-3.66

# 2
Cd2SnPb4 | PBE | optimized geometry

Output
For the final energy, the calculation gives -0.2138 Ry per atom. As for the formation energy: 44 meV per atom. The calculation puts the total magnetization at 0.0 Bohr magnetons per cell. The calculation puts the excess energy over the best structure of this formula in the dataset at 0 meV per atom.

Lattice parameters (Å, degrees): 6.7865 8.0068 8.4100 112.14 93.24 103.92
Closest atoms and distances in Å follow each position.
Space group P1 (No. 1)
One atom of each set of equivalent atoms:
Cd 0.0000 0.0000 0.0000 (multiplicity 1)  3 Cd 3.20-3.35, 3 Sn 3.25-3.43, 4 Pb 3.34-3.50
Cd 0.0707 0.2748 0.4050 (multiplicity 1)  2 Cd 3.21-3.44, 8 Pb 3.27-3.56
Cd 0.2222 0.8692 0.2592 (multiplicity 1)  2 Cd 3.20-3.44, 1 Sn 3.32, 7 Pb 3.33-3.43
Cd 0.6362 0.5854 0.8466 (multiplicity 1)  2 Sn 3.29-3.49, 8 Pb 3.31-3.63, 1 Cd 3.35
Sn 0.4957 0.0031 0.9910 (multiplicity 1)  4 Cd 3.32-3.49, 8 Pb 3.40-3.58
Sn 0.9055 0.7296 0.5866 (multiplicity 1)  2 Cd 3.25-3.29, 8 Pb 3.30-3.49
Pb 0.1341 0.5779 0.8401 (multiplicity 1)  2 Sn 3.30-3.40, 5 Cd 3.33-3.50, 5 Pb 3.45-3.61
Pb 0.2782 0.1454 0.6830 (multiplicity 1)  3 Cd 3.27-3.47, 6 Pb 3.38-3.61, 2 Sn 3.44-3.58
Pb 0.3624 0.4171 0.1165 (multiplicity 1)  7 Pb 3.36-3.50, 4 Cd 3.39-3.74, 1 Sn 3.44
Pb 0.3937 0.7109 0.5472 (multiplicity 1)  3 Cd 3.36-3.51, 3 Sn 3.38-3.50, 6 Pb 3.45-3.67
Pb 0.5797 0.2920 0.4217 (multiplicity 1)  2 Sn 3.37-3.41, 4 Cd 3.38-3.42, 6 Pb 3.42-3.67
Pb 0.7254 0.8594 0.2665 (multiplicity 1)  5 Cd 3.31-3.43, 2 Sn 3.40-3.49, 5 Pb 3.50-3.67
Pb 0.7812 0.1364 0.7126 (multiplicity 1)  2 Sn 3.36-3.43, 7 Pb 3.38-3.51, 3 Cd 3.41-3.73
Pb 0.8805 0.4473 0.1530 (multiplicity 1)  4 Cd 3.29-3.63, 6 Pb 3.36-3.56, 2 Sn 3.46-3.58

# 3
CdSn2Pb3 | PBE | optimized geometry

Output
For the final energy, the calculation gives -0.2398 Ry per atom. As for the formation energy: 79 meV per atom. The calculation puts the total magnetization at 0.0 Bohr magnetons per cell.

Lattice parameters (Å, degrees): 5.8152 10.1594 5.9744 90.00 90.00 90.00
Closest atoms and distances in Å follow each position.
Space group Cmmm (No. 65)
One atom of each set of equivalent atoms:
Cd 0.0000 0.0000 0.0000 (multiplicity 2)  6 Sn 3.33-3.39, 4 Pb 3.44
Sn 0.0000 0.3276 0.0000 (multiplicity 4)  3 Sn 3.31-3.50, 3 Cd 3.33-3.39, 4 Pb 3.40-3.46
Pb 0.0000 0.1676 0.5000 (multiplicity 4)  6 Pb 3.35-3.41, 2 Sn 3.40, 2 Cd 3.44
Pb 0.0000 0.5000 0.5000 (multiplicity 2)  6 Pb 3.37-3.38, 4 Sn 3.46

# 4
CdSnPb3 | PBE | optimized geometry

Output
For the final energy, the calculation gives -0.2330 Ry per atom. As for the formation energy: 38 meV per atom. The calculation puts the total magnetization at 0.0 Bohr magnetons per cell. The calculation puts the excess energy over the best structure of this formula in the dataset at 0 meV per atom.

Lattice parameters (Å, degrees): 4.9279 4.8821 12.4377 90.00 100.59 90.00
Closest atoms and distances in Å follow each position.
Space group P2_1/m (No. 11)
One atom of each set of equivalent atoms:
Cd 0.1508 0.2500 0.3025 (multiplicity 2)  8 Pb 3.36-3.49, 4 Sn 3.45-3.48
Sn 0.3446 0.2500 0.6970 (multiplicity 2)  8 Pb 3.37-3.49, 4 Cd 3.45-3.48
Pb 0.0482 0.7500 0.1079 (multiplicity 2)  2 Sn 3.37-3.49, 2 Cd 3.41, 8 Pb 3.45-3.64
Pb 0.2476 0.7500 0.4993 (multiplicity 2)  4 Cd 3.42-3.49, 4 Sn 3.44, 4 Pb 3.45-3.48
Pb 0.4558 0.7500 0.8915 (multiplicity 2)  2 Cd 3.36-3.48, 2 Sn 3.41, 8 Pb 3.45-3.64

Question: Which formula does entry 2 have?
Answer: Cd2SnPb4

Question: Which of these has the lowest final energy?
Answer: CdSn2Pb3

Question: Among the records above, which one has the lowest final energy?
Answer: CdSn2Pb3

Question: Which of these has the highest final energy?
Answer: Cd2SnPb4